[1]
Crystalline SiTeS at its relaxed geometry, computed with GGA-PBE.

Cell and atoms, written as POSCAR:
```
SiTeS
1.0
3.244 0.000 0.000
0.000 4.570 0.000
0.000 0.000 6.468
Si Te S
1 1 1
Direct
0.000 0.000 0.000
0.000 0.500 0.212
0.500 0.000 0.781
```

Output
**Formation energy from raw total energies**: -224 meV per atom
**Space-group type**: No. 25



[2]
Crystalline Th6Si2TeS3 at its relaxed geometry, computed with GGA-PBE.

Cell and atoms, written as POSCAR:
```
Th6Si2TeS3
1.0
9.079 -2.106 0.000
9.079 2.106 0.000
-1.670 0.000 8.217
Th Si Te S
6 2 1 3
Direct
0.001 0.001 0.278
0.322 0.322 0.911
0.333 0.333 0.417
0.667 0.667 0.583
0.678 0.678 0.089
0.999 0.999 0.722
0.167 0.167 0.331
0.833 0.833 0.669
0.500 0.500 0.000
0.162 0.162 0.833
0.500 0.500 0.500
0.838 0.838 0.167
```

Output
**Formation energy from raw total energies**: -1326 meV per atom
**Space-group type**: No. 12



[3]
Crystalline Th6Si2Te3S at its relaxed geometry, computed with GGA-PBE.

Cell and atoms, written as POSCAR:
```
Th6Si2Te3S
1.0
9.629 -2.149 0.000
9.629 2.149 0.000
-2.612 0.000 8.394
Th Si Te S
6 2 3 1
Direct
0.006 0.006 0.220
0.324 0.324 0.439
0.345 0.345 0.901
0.655 0.655 0.099
0.676 0.676 0.561
0.994 0.994 0.780
0.164 0.164 0.328
0.836 0.836 0.672
0.170 0.170 0.832
0.500 0.500 0.500
0.830 0.830 0.168
0.500 0.500 0.000
```

Output
**Formation energy from raw total energies**: -1134 meV per atom
**Space-group type**: No. 12



[4]
Crystalline Tm6SiTe3S2 at its relaxed geometry, computed with GGA-PBE.

Cell and atoms, written as POSCAR:
```
Tm6SiTe3S2
1.0
3.511 -6.076 0.000
3.511 6.076 0.000
-2.329 0.000 6.955
Tm Si Te S
6 1 3 2
Direct
0.069 0.401 0.208
0.262 0.262 0.792
0.401 0.069 0.208
0.599 0.931 0.792
0.738 0.738 0.208
0.931 0.599 0.792
0.000 0.000 0.000
0.167 0.833 0.500
0.500 0.500 0.500
0.833 0.167 0.500
0.333 0.667 0.000
0.667 0.333 0.000
```

Output
**Formation energy from raw total energies**: -1438 meV per atom
**Space-group type**: No. 12



[5]
Crystalline Tm8SiTe4S3 at its relaxed geometry, computed with GGA-PBE.

Cell and atoms, written as POSCAR:
```
Tm8SiTe4S3
1.0
4.046 2.336 6.918
-4.046 2.336 6.918
0.000 -4.671 6.918
Tm Si Te S
8 1 4 3
Direct
0.235 0.235 0.235
0.237 0.735 0.735
0.265 0.265 0.763
0.265 0.763 0.265
0.735 0.237 0.735
0.735 0.735 0.237
0.763 0.265 0.265
0.765 0.765 0.765
0.500 0.500 0.500
0.000 0.000 0.000
0.000 0.500 0.500
0.500 0.000 0.500
0.500 0.500 0.000
0.000 0.000 0.500
0.000 0.500 0.000
0.500 0.000 0.000
```

Output
**Formation energy from raw total energies**: -1470 meV per atom
**Space-group type**: No. 166



[6]
Crystalline Tm8Si3Te4S at its relaxed geometry, computed with GGA-PBE.

Cell and atoms, written as POSCAR:
```
Tm8Si3Te4S
1.0
4.132 2.386 6.967
-4.132 2.386 6.967
0.000 -4.772 6.967
Tm Si Te S
8 3 4 1
Direct
0.234 0.741 0.741
0.239 0.239 0.239
0.259 0.259 0.766
0.259 0.766 0.259
0.741 0.234 0.741
0.741 0.741 0.234
0.761 0.761 0.761
0.766 0.259 0.259
0.000 0.000 0.500
0.000 0.500 0.000
0.500 0.000 0.000
0.000 0.000 0.000
0.000 0.500 0.500
0.500 0.000 0.500
0.500 0.500 0.000
0.500 0.500 0.500
```

Output
**Formation energy from raw total energies**: -1218 meV per atom
**Space-group type**: No. 166



[7]
Crystalline Tm8SiTe3S3 at its relaxed geometry, computed with GGA-PBE.

Cell and atoms, written as POSCAR:
```
Tm8SiTe3S3
1.0
3.991 2.304 6.864
-3.991 2.304 6.864
0.000 -4.608 6.864
Tm Si Te S
8 1 3 3
Direct
0.232 0.742 0.742
0.234 0.234 0.234
0.258 0.258 0.768
0.258 0.768 0.258
0.742 0.232 0.742
0.742 0.742 0.232
0.766 0.766 0.766
0.768 0.258 0.258
0.500 0.500 0.500
0.000 0.500 0.500
0.500 0.000 0.500
0.500 0.500 0.000
0.000 0.000 0.500
0.000 0.500 0.000
0.500 0.000 0.000
```

Output
**Formation energy from raw total energies**: -1355 meV per atom
**Space-group type**: No. 166



[8]
Crystalline Tm6Si2TeS3 at its relaxed geometry, computed with GGA-PBE.

Cell and atoms, written as POSCAR:
```
Tm6Si2TeS3
1.0
8.707 -2.005 0.000
8.707 2.005 0.000
-1.725 0.000 7.880
Tm Si Te S
6 2 1 3
Direct
0.005 0.005 0.278
0.324 0.324 0.900
0.332 0.332 0.418
0.668 0.668 0.582
0.676 0.676 0.100
0.995 0.995 0.722
0.167 0.167 0.335
0.833 0.833 0.665
0.500 0.500 0.000
0.163 0.163 0.836
0.500 0.500 0.500
0.837 0.837 0.164
```

Output
**Formation energy from raw total energies**: -1435 meV per atom
**Space-group type**: No. 12



[9]
Crystalline Tm6Si2Te3S at its relaxed geometry, computed with GGA-PBE.

Cell and atoms, written as POSCAR:
```
Tm6Si2Te3S
1.0
9.156 -2.060 0.000
9.156 2.060 0.000
-2.223 0.000 8.128
Tm Si Te S
6 2 3 1
Direct
0.010 0.010 0.232
0.326 0.326 0.438
0.340 0.340 0.896
0.660 0.660 0.104
0.674 0.674 0.562
0.990 0.990 0.768
0.166 0.166 0.330
0.834 0.834 0.670
0.164 0.164 0.833
0.500 0.500 0.500
0.836 0.836 0.167
0.500 0.500 0.000
```

Output
**Formation energy from raw total energies**: -1257 meV per atom
**Space-group type**: No. 12



[10]
Crystalline Y6Si2TeS3 at its relaxed geometry, computed with GGA-PBE.

Cell and atoms, written as POSCAR:
```
Y6Si2TeS3
1.0
8.856 -2.036 0.000
8.856 2.036 0.000
-1.778 0.000 8.012
Y Si Te S
6 2 1 3
Direct
0.005 0.005 0.277
0.325 0.325 0.901
0.332 0.332 0.418
0.668 0.668 0.582
0.675 0.675 0.099
0.995 0.995 0.723
0.167 0.167 0.335
0.833 0.833 0.665
0.500 0.500 0.000
0.163 0.163 0.836
0.500 0.500 0.500
0.837 0.837 0.164
```

Output
**Formation energy from raw total energies**: -1503 meV per atom
**Space-group type**: No. 12



[11]
Crystalline Y8Si3Te4S at its relaxed geometry, computed with GGA-PBE.

Cell and atoms, written as POSCAR:
```
Y8Si3Te4S
1.0
4.192 2.420 7.070
-4.192 2.420 7.070
0.000 -4.841 7.070
Y Si Te S
8 3 4 1
Direct
0.235 0.741 0.741
0.240 0.240 0.240
0.259 0.259 0.765
0.259 0.765 0.259
0.741 0.235 0.741
0.741 0.741 0.235
0.760 0.760 0.760
0.765 0.259 0.259
0.000 0.000 0.500
0.000 0.500 0.000
0.500 0.000 0.000
0.000 0.000 0.000
0.000 0.500 0.500
0.500 0.000 0.500
0.500 0.500 0.000
0.500 0.500 0.500
```

Output
**Formation energy from raw total energies**: -1296 meV per atom
**Space-group type**: No. 166



[12]
Crystalline Y8SiTe3S3 at its relaxed geometry, computed with GGA-PBE.

Cell and atoms, written as POSCAR:
```
Y8SiTe3S3
1.0
4.061 2.345 6.973
-4.061 2.345 6.973
0.000 -4.690 6.973
Y Si Te S
8 1 3 3
Direct
0.234 0.234 0.234
0.234 0.741 0.741
0.259 0.259 0.766
0.259 0.766 0.259
0.741 0.234 0.741
0.741 0.741 0.234
0.766 0.259 0.259
0.766 0.766 0.766
0.500 0.500 0.500
0.000 0.500 0.500
0.500 0.000 0.500
0.500 0.500 0.000
0.000 0.000 0.500
0.000 0.500 0.000
0.500 0.000 0.000
```

Output
**Formation energy from raw total energies**: -1454 meV per atom
**Space-group type**: No. 166